1.
The following is a DFT calculation (PBE) of a geometry-optimized Hg3I structure.

Calculated values
Energy above the lowest structure with this stoichiometry ... 0.417 kcal/mol of atoms
Calculated volume ... 33.29 Å³ per atom
D(E_F) ... 0.223 states/eV/atom
M_tot ... 0.00 μB per formula unit
Total DFT energy (no corrections) ... -0.699 eV per atom
Raw formation energy ... -0.341 eV per formula unit

abc: 5.8104 7.0846 7.5050
angles: 93.73 112.19 107.95
Atoms (fractional coordinates):
Hg 0.4911 0.7920 0.9234
Hg 0.5089 0.2080 0.0766
Hg 0.9560 0.6812 0.5803
Hg 0.0440 0.3188 0.4197
Hg 0.6148 0.4369 0.7666
Hg 0.3852 0.5631 0.2334
I 0.8713 0.0837 0.7262
I 0.1287 0.9163 0.2738

=====

2.
The following is a DFT calculation (PBE) of a geometry-optimized TbHoTm2Se4 structure.

Calculated values
Calculated volume ... 23.41 Å³ per atom
D(E_F) ... 0.538 states/eV/atom
M_tot ... 0.00 μB per formula unit
Total DFT energy (no corrections) ... -5.713 eV per atom
Raw formation energy ... -13.613 eV per formula unit

abc: 3.9886 7.1147 6.9696
angles: 71.23 90.00 90.00
Atoms (fractional coordinates):
Tb 0.5000 0.5000 0.0000
Ho 0.0000 0.5000 0.5000
Tm 0.0000 0.0000 0.0000
Tm 0.5000 0.0000 0.5000
Se 0.0000 0.7567 0.7461
Se 0.0000 0.2433 0.2539
Se 0.5000 0.7555 0.2498
Se 0.5000 0.2445 0.7502

=====

3.
The following is a DFT calculation (PBE) of a geometry-optimized Cr3HAu structure.

Calculated values
Energy above the lowest structure with this stoichiometry ... 0.000 kcal/mol of atoms
Calculated volume ... 10.82 Å³ per atom
D(E_F) ... 0.937 states/eV/atom
M_tot ... 0.00 μB per formula unit
Total DFT energy (no corrections) ... -6.902 eV per atom

abc: 3.7824 3.7824 3.7824
angles: 90.00 90.00 90.00
Atoms (fractional coordinates):
Cr 0.0000 0.5000 0.0000
Cr 0.0000 0.0000 0.5000
Cr 0.5000 0.0000 0.0000
Au 0.5000 0.5000 0.5000
H 0.0000 0.0000 0.0000

=====

4.
The following is a DFT calculation (PBE) of a geometry-optimized Sr2InAu structure.

Calculated values
Calculated volume ... 33.43 Å³ per atom
D(E_F) ... 0.911 states/eV/atom
M_tot ... 0.00 μB per formula unit
Total DFT energy (no corrections) ... -2.896 eV per atom

abc: 4.7321 6.4636 9.4293
angles: 111.97 90.00 90.00
Atoms (fractional coordinates):
Sr 0.7500 0.2088 0.4371
Sr 0.2500 0.7912 0.5629
Sr 0.2500 0.7786 0.0808
Sr 0.7500 0.2214 0.9192
In 0.2500 0.3522 0.2147
In 0.7500 0.6478 0.7853
Au 0.7500 0.6349 0.2863
Au 0.2500 0.3651 0.7137

=====

5.
The following is a DFT calculation (PBE) of a geometry-optimized TcBi3Cl structure.

Calculated values
Energy above the lowest structure with this stoichiometry ... 0.000 kcal/mol of atoms
Calculated volume ... 30.71 Å³ per atom
D(E_F) ... 1.361 states/eV/atom
M_tot ... 0.00 μB per formula unit
Total DFT energy (no corrections) ... -4.450 eV per atom
Raw formation energy ... 1.603 eV per formula unit

abc: 5.3550 5.3550 5.3550
angles: 90.00 90.00 90.00
Atoms (fractional coordinates):
Cl 0.5000 0.5000 0.5000
Bi 0.0000 0.5000 0.0000
Bi 0.0000 0.0000 0.5000
Bi 0.5000 0.0000 0.0000
Tc 0.0000 0.0000 0.0000

=====

6.
The following is a DFT calculation (PBE) of a geometry-optimized TmZnHg2 structure.

Calculated values
Energy above the lowest structure with this stoichiometry ... 0.534 kcal/mol of atoms
Calculated volume ... 22.14 Å³ per atom
D(E_F) ... 0.641 states/eV/atom
M_tot ... 0.00 μB per formula unit
Total DFT energy (no corrections) ... -1.839 eV per atom

abc: 4.3069 4.5345 4.5345
angles: 90.00 90.00 90.00
Atoms (fractional coordinates):
Zn 0.5000 0.0000 0.0000
Tm 0.5000 0.5000 0.5000
Hg 0.0000 0.0000 0.5000
Hg 0.0000 0.5000 0.0000